(1)
A relaxed structure of Al2ZnPt2, computed with PBE.

## Properties
**Raw total energy**: -4.865 eV per atom
**Calculated density**: 10.86 g cm⁻³
**SG**: P4/mbm (127)
**Total moment**: 0.0 Bohr magnetons per cell
**Energy of formation**: -0.697 eV per atom
**Energy above the lowest structure with this stoichiometry**: 0.137 eV/atom

```
Al2ZnPt2
1.0
-6.743 2.948 1.376
-2.436 -2.478 -6.632
-0.801 -2.385 1.185
Al Zn Pt
4 2 4
direct
0.862 0.638 0.000 Al
0.362 0.862 0.000 Al
0.638 0.138 0.000 Al
0.138 0.362 0.000 Al
0.000 0.000 0.000 Zn
0.500 0.500 0.000 Zn
0.842 0.342 0.500 Pt
0.342 0.158 0.500 Pt
0.158 0.658 0.500 Pt
0.658 0.842 0.500 Pt
```



(2)
A relaxed structure of Al2Zn2Pt, computed with PBE.

## Properties
**Raw total energy**: -3.391 eV per atom
**Calculated density**: 7.56 g cm⁻³
**SG**: P4/mbm (127)
**Total moment**: 0.0 Bohr magnetons per cell
**Energy of formation**: -0.176 eV per atom
**Energy above the lowest structure with this stoichiometry**: 0.000 eV/atom

```
Al2Zn2Pt
1.0
-1.368 3.338 5.393
1.696 -5.124 3.601
3.735 1.325 0.127
Pt Al Zn
2 4 4
direct
0.500 0.500 0.000 Pt
0.000 0.000 0.000 Pt
0.146 0.354 0.000 Al
0.646 0.146 0.000 Al
0.854 0.646 0.000 Al
0.354 0.854 0.000 Al
0.152 0.652 0.500 Zn
0.848 0.348 0.500 Zn
0.348 0.152 0.500 Zn
0.652 0.848 0.500 Zn
```



(3)
A relaxed structure of AlZn2Pt2, computed with PBE.

## Properties
**Raw total energy**: -4.111 eV per atom
**Calculated density**: 11.82 g cm⁻³
**SG**: P4/mbm (127)
**Total moment**: 0.0 Bohr magnetons per cell
**Energy of formation**: -0.437 eV per atom
**Energy above the lowest structure with this stoichiometry**: 0.112 eV/atom

```
AlZn2Pt2
1.0
-5.478 1.671 -4.645
0.407 -6.762 -2.912
-1.888 -0.929 1.893
Pt Al Zn
4 2 4
direct
0.676 0.824 0.500 Pt
0.324 0.176 0.500 Pt
0.824 0.324 0.500 Pt
0.176 0.676 0.500 Pt
0.500 0.500 0.000 Al
0.000 0.000 0.000 Al
0.622 0.122 0.000 Zn
0.378 0.878 0.000 Zn
0.122 0.378 0.000 Zn
0.878 0.622 0.000 Zn
```



(4)
A relaxed structure of ZrAl2ZnPt, computed with PBE.

## Properties
**Raw total energy**: -4.330 eV per atom
**Calculated density**: 6.83 g cm⁻³
**SG**: P4/mmm (123)
**Total moment**: 0.0 Bohr magnetons per cell
**Energy of formation**: 0.339 eV per atom
**Energy above the lowest structure with this stoichiometry**: 0.000 eV/atom

```
ZrAl2ZnPt
1.0
-4.094 -1.106 -1.281
1.803 -4.161 -2.168
-0.583 -2.225 3.786
Zr Al Pt Zn
1 2 1 1
direct
0.000 0.500 0.000 Zr
0.000 0.000 0.500 Al
0.500 0.000 0.000 Al
0.500 0.500 0.500 Pt
0.000 0.000 0.000 Zn
```